DFT (GGA-PBE) results for a relaxed structure of KLi2TlPt.

a = 5.067 Å, b = 5.067 Å, c = 5.279 Å
α = 90.00°, β = 90.00°, γ = 90.00°
Fractional coordinates of all 5 atoms:
Li: 0.000 0.500 0.000
Li: 0.500 0.000 0.000
Pt: 0.000 0.000 0.000
Tl: 0.000 0.000 0.500
K: 0.500 0.500 0.500

Calculated values
ΔE_f = -228.3 meV/atom
SG = P4/mmm (123)
total DFT energy (no corrections) = -14.47 eV for the cell shown